(1)
KTiSnPb2 (PBE, optimized geometry); energy relative to the elements = -0.0523 eV/atom; M_tot = 0.000 μB/cell; calculated volume = 162.3 Å³/cell
1.0
5.4830 0.0000 0.0000
0.0000 5.4830 0.0000
0.0000 0.0000 5.3995
K Ti Sn Pb
1 1 1 2
direct
0.0000 0.0000 0.0000
0.5000 0.5000 0.5000
0.5000 0.5000 0.0000
0.0000 0.5000 0.5000
0.5000 0.0000 0.5000

---

(2)
TiNb (PBE, optimized geometry); energy relative to the elements = 0.6467 eV/atom; M_tot = 0.000 μB/cell; calculated volume = 150.2 Å³/cell
1.0
5.2678 0.0000 0.0000
0.0000 5.2678 0.0000
0.0000 0.0000 5.4131
Ti Nb
4 4
direct
0.1926 0.1926 0.0000
0.3074 0.6926 0.5000
0.6926 0.3074 0.5000
0.8074 0.8074 0.0000
0.1934 0.1934 0.5000
0.3066 0.6934 0.0000
0.6934 0.3066 0.0000
0.8066 0.8066 0.5000

---

(3)
SrNbTc2Te (PBE, optimized geometry); M_tot = 3.065 μB/cell; calculated volume = 142.8 Å³/cell; uncorrected formation energy = 1093 meV per atom
1.0
4.7595 0.0000 0.0000
0.0000 4.7595 0.0000
0.0000 0.0000 6.3032
Sr Nb Tc Te
1 1 2 1
direct
0.0000 0.0000 0.0000
0.0000 0.0000 0.5000
0.0000 0.5000 0.5000
0.5000 0.0000 0.5000
0.5000 0.5000 0.0000

---

(4)
ScGaTeN2 (PBE, optimized geometry); M_tot = 0.763 μB/cell; calculated volume = 103.0 Å³/cell; uncorrected formation energy = 559 meV per atom; E above lowest polymorph = 0.0 kJ per mole of atoms
1.0
4.1180 0.0000 0.0000
0.0000 4.1180 0.0000
0.0000 0.0000 6.0758
Sc Ga Te N
1 1 1 2
direct
0.0000 0.0000 0.0000
0.5000 0.5000 0.5000
0.0000 0.0000 0.5000
0.0000 0.5000 0.0000
0.5000 0.0000 0.0000